Material: LiCoOs
Method: DFT, PBE
State: relaxed

Computed properties:
The relative energy among the computed polymorphs is 414.3 meV per atom. Its raw total energy is -0.4578 Ry per atom. The total magnetization comes out at 0.00 μB/f.u.

a = 3.850 Å, b = 3.850 Å, c = 3.850 Å
α = 60.00°, β = 60.00°, γ = 60.00°
Sites, in units of the cell vectors:
1 Co 0.000 0.000 0.000
2 Os 0.750 0.750 0.750
3 Li 0.250 0.250 0.250

***

Material: LiCoOs
Method: DFT, PBE
State: relaxed

Computed properties:
The relative energy among the computed polymorphs is 87.8 meV per atom. Its raw total energy is -0.4818 Ry per atom. The total magnetization comes out at 1.21 μB/f.u.

a = 4.256 Å, b = 4.923 Å, c = 4.256 Å
α = 89.99°, β = 120.00°, γ = 90.00°
Each line ends with the local moment (μB).
Sites, in units of the cell vectors:
1 Os 0.386 0.030 0.285  -0.07
2 Os 0.052 0.030 0.618  -0.07
3 Co 0.719 0.279 0.952  1.38
4 Co 0.719 0.781 0.952  1.38
5 Li 0.386 0.530 0.285  -0.01
6 Li 0.052 0.530 0.618  -0.01

***

Material: LiCo2Os
Method: DFT, PBE
State: relaxed

Computed properties:
The relative energy among the computed polymorphs is 109.9 meV per atom. Its raw total energy is -0.4828 Ry per atom. The total magnetization comes out at 1.99 μB/f.u.

a = 2.540 Å, b = 3.778 Å, c = 4.978 Å
α = 90.00°, β = 90.00°, γ = 90.00°
Each line ends with the local moment (μB).
Sites, in units of the cell vectors:
1 Co 0.000 0.000 0.982  0.49
2 Co 0.500 0.500 0.269  1.47
3 Li 0.000 0.000 0.480  -0.03
4 Os 0.500 0.500 0.769  0.10

***

Material: LiCo2Os
Method: DFT, PBE
State: relaxed

Computed properties:
The relative energy among the computed polymorphs is 58.5 meV per atom. Its raw total energy is -0.4866 Ry per atom. The total magnetization comes out at 0.79 μB/f.u.

a = 3.612 Å, b = 2.576 Å, c = 5.650 Å
α = 62.86°, β = 90.00°, γ = 90.00°
Each line ends with the local moment (μB).
Sites, in units of the cell vectors:
1 Co 0.000 0.002 0.998  0.39
2 Co 0.000 0.498 0.502  0.39
3 Li 0.500 0.250 0.250  -0.01
4 Os 0.500 0.750 0.750  0.01

***

Material: LiCoOs
Method: DFT, PBE
State: relaxed

Computed properties:
The relative energy among the computed polymorphs is 120.9 meV per atom. Its raw total energy is -0.4794 Ry per atom. The total magnetization comes out at 0.00 μB/f.u.

a = 5.006 Å, b = 3.745 Å, c = 4.412 Å
α = 64.94°, β = 77.46°, γ = 90.06°
Sites, in units of the cell vectors:
1 Os 0.278 0.775 0.612
2 Os 0.780 0.721 0.716
3 Co 0.586 0.403 0.356
4 Co 0.473 0.093 0.972
5 Li 0.962 0.061 0.038
6 Li 0.097 0.436 0.289

***

Material: LiCoOs2
Method: DFT, PBE
State: relaxed

Computed properties:
The relative energy among the computed polymorphs is 55.2 meV per atom. Its raw total energy is -0.5598 Ry per atom. The total magnetization comes out at 1.13 μB/f.u.

a = 4.811 Å, b = 4.811 Å, c = 4.811 Å
α = 145.35°, β = 128.64°, γ = 63.44°
Each line ends with the local moment (μB).
Sites, in units of the cell vectors:
1 Co 0.486 0.486 0.000  1.08
2 Li 0.262 0.762 0.500  0.00
3 Os 0.009 0.009 0.000  0.08
4 Os 0.743 0.243 0.500  -0.01

***

Material: LiCoOs
Method: DFT, PBE
State: relaxed

Computed properties:
The relative energy among the computed polymorphs is 82.8 meV per atom. Its raw total energy is -0.4822 Ry per atom. The total magnetization comes out at 0.08 μB/f.u.

a = 4.156 Å, b = 4.886 Å, c = 4.156 Å
α = 90.00°, β = 60.00°, γ = 89.99°
Each line ends with the local moment (μB).
Sites, in units of the cell vectors:
1 Os 0.915 0.648 0.693  0.02
2 Os 0.582 0.435 0.359  -0.02
3 Co 0.248 0.398 0.026  0.02
4 Co 0.915 0.147 0.693  0.16
5 Li 0.248 0.906 0.026  0.00
6 Li 0.582 0.937 0.359  0.00

***

Material: LiCoOs
Method: DFT, PBE
State: relaxed

Computed properties:
The relative energy among the computed polymorphs is 172.5 meV per atom. Its raw total energy is -0.4756 Ry per atom. The total magnetization comes out at 1.25 μB/f.u.

a = 4.161 Å, b = 4.161 Å, c = 5.006 Å
α = 90.00°, β = 90.00°, γ = 120.00°
Each line ends with the local moment (μB).
Sites, in units of the cell vectors:
1 Co 0.667 0.333 0.351  1.39
2 Co 0.000 0.000 0.014  1.16
3 Os 0.000 0.000 0.512  0.26
4 Os 0.333 0.667 0.655  -0.14
5 Li 0.667 0.333 0.856  -0.01
6 Li 0.333 0.667 0.164  -0.01

***

| no. | E_form (eV per formula unit) | mass density (g/cm3) |
| --- | --- | --- |
| 1 | 1.56 | 10.54 |
| 2 | 0.58 | 11.01 |
| 3 | 1.08 | 10.95 |
| 4 | 0.87 | 11.18 |
| 5 | 0.68 | 11.69 |
| 6 | 1.01 | 15.16 |
| 7 | 0.57 | 11.64 |
| 8 | 0.84 | 11.33 |